Nb2InWO | GGA+U | relaxed

abc: 5.148 5.209 5.148
angles: 90.00 90.00 90.00
Last column: magnetic moment on the atom in μB.
Positions (direct):
W (0.000, 0.500, 0.000)  3.05
Nb (0.500, 0.000, 0.000)  -1.66
Nb (0.000, 0.000, 0.500)  -2.07
O (0.500, 0.500, 0.500)  0.45
In (0.000, 0.000, 0.000)  -0.05

Values from the calculation:
calculated total energy = -22.48 eV/cell
total magnetization = 1.05 μB per cell
space-group type = P4/mmm (123)